1.
## NaGeC2 (PBE)

Data for crystalline NaGeC2 at its relaxed geometry.

E_form: 1.44 eV/atom

Unit cell a=4.5180 b=4.5180 c=6.6741 alpha=70.22 beta=70.22 gamma=90.00
With the nearest neighbours (Å) after each atom.
Element x y z (fractional)
C: 0.7571 0.1250 0.2500  2 Ge 1.93
Na: 0.2500 0.7500 0.5000  4 C 2.53
Na: 0.5000 0.5000 0.0000  4 C 2.53
C: 0.8750 0.0071 0.7500  2 Ge 1.93
C: 0.3750 0.2429 0.7500  2 Ge 1.93
C: 0.9929 0.6250 0.2500  2 Ge 1.93
Ge: 0.0000 0.0000 0.0000  4 C 1.93
Ge: 0.7500 0.2500 0.5000  4 C 1.93

2.
## NaGe2C (PBE)

Data for crystalline NaGe2C at its relaxed geometry.

E_form: 0.60 eV/atom

Unit cell a=6.8175 b=6.8175 c=5.5541 alpha=52.14 beta=52.14 gamma=90.00
With the nearest neighbours (Å) after each atom.
Element x y z (fractional)
Na: 0.0000 0.0000 0.0000  2 C 2.76, 8 Ge 2.90-2.95
Ge: 0.3750 0.4635 0.7500  2 C 2.14
Na: 0.7500 0.2500 0.5000  2 C 2.76, 8 Ge 2.90-2.95
C: 0.2500 0.7500 0.5000  4 Ge 2.14
C: 0.5000 0.5000 0.0000  4 Ge 2.14
Ge: 0.8750 0.7865 0.7500  2 C 2.14
Ge: 0.5365 0.1250 0.2500  2 C 2.14
Ge: 0.2135 0.6250 0.2500  2 C 2.14

3.
## Na2GeC (PBE)

Data for crystalline Na2GeC at its relaxed geometry.

E_form: 1.27 eV/atom
Offset from the most stable computed form: 11 meV/atom

Unit cell a=3.7365 b=3.7365 c=9.9927 alpha=79.22 beta=79.22 gamma=90.00
With the nearest neighbours (Å) after each atom.
Element x y z (fractional)
Na: 0.5945 0.1250 0.2500  2 Na 2.49, 2 C 2.71
Na: 0.3750 0.4055 0.7500  2 Na 2.49, 2 C 2.71
Na: 0.8750 0.8445 0.7500  2 Na 2.49, 2 C 2.71
Ge: 0.7500 0.2500 0.5000  4 C 2.64, 4 Na 2.79
C: 0.5000 0.5000 0.0000  4 Ge 2.64, 4 Na 2.71
C: 0.2500 0.7500 0.5000  4 Ge 2.64, 4 Na 2.71
Na: 0.1555 0.6250 0.2500  2 Na 2.49, 2 C 2.71
Ge: 0.0000 0.0000 0.0000  4 C 2.64, 4 Na 2.79

4.
## Na2GeC (PBE)

Data for crystalline Na2GeC at its relaxed geometry.

E_form: 1.25 eV/atom
Offset from the most stable computed form: 0 meV/atom

Unit cell a=4.6639 b=4.6639 c=4.6639 alpha=60.00 beta=60.00 gamma=60.00
With the nearest neighbours (Å) after each atom.
Element x y z (fractional)
Na: 0.7500 0.7500 0.7500  4 Ge 2.86, 4 C 2.86
Na: 0.2500 0.2500 0.2500  4 Ge 2.86, 4 C 2.86
C: 0.0000 0.0000 0.0000  8 Na 2.86
Ge: 0.5000 0.5000 0.5000  8 Na 2.86

5.
## NaNi2GeC (PBE)

Data for crystalline NaNi2GeC at its relaxed geometry.

E_form: 1.11 eV/atom

Unit cell a=4.4999 b=3.9803 c=4.4999 alpha=90.00 beta=90.00 gamma=90.00
With the nearest neighbours (Å) after each atom.
Element x y z (fractional)
C: 0.0000 0.5000 0.0000  2 Ge 1.99
Ni: 0.0000 0.0000 0.5000  2 Ge 2.25
Ge: 0.0000 0.0000 0.0000  2 C 1.99
Ni: 0.5000 0.0000 0.0000  2 Ge 2.25
Na: 0.5000 0.5000 0.5000  8 Ni 3.00, 4 C 3.18

6.
## Na2VGeC (PBE)

Data for crystalline Na2VGeC at its relaxed geometry.

E_form: 0.67 eV/atom

Unit cell a=4.8459 b=3.9102 c=4.8459 alpha=90.00 beta=90.00 gamma=90.00
With the nearest neighbours (Å) after each atom.
Element x y z (fractional)
C: 0.0000 0.0000 0.0000  2 V 1.96
Na: 0.0000 0.0000 0.5000  2 C 2.42
V: 0.0000 0.5000 0.0000  2 C 1.96
Ge: 0.5000 0.5000 0.5000  8 Na 3.11, 4 V 3.43
Na: 0.5000 0.0000 0.0000  2 C 2.42

7.
## NaVGeC2 (PBE)

Data for crystalline NaVGeC2 at its relaxed geometry.

E_form: 1.08 eV/atom

Unit cell a=4.0334 b=4.6883 c=4.0334 alpha=90.00 beta=90.00 gamma=90.00
With the nearest neighbours (Å) after each atom.
Element x y z (fractional)
C: 0.0000 0.0000 0.5000  2 V 2.02
Ge: 0.0000 0.5000 0.0000  2 V 2.34
C: 0.5000 0.0000 0.0000  2 V 2.02
Na: 0.5000 0.5000 0.5000  4 Ge 2.85, 8 C 3.09
V: 0.0000 0.0000 0.0000  4 C 2.02

8.
## Nb10Ge6C (PBE)

Data for crystalline Nb10Ge6C at its relaxed geometry.

E_form: -0.55 eV/atom

Unit cell a=7.7252 b=7.7252 c=5.3480 alpha=90.00 beta=90.00 gamma=120.00
With the nearest neighbours (Å) after each atom.
Element x y z (fractional)
Ge: 0.6017 0.6017 0.2436  9 Nb 2.68-2.96
Nb: 0.2380 0.0000 0.7415  1 C 2.25
Nb: 0.6667 0.3333 0.5000  2 Nb 2.67, 6 Ge 2.73
Ge: 0.3983 0.0000 0.2436  9 Nb 2.68-2.96
Nb: 0.0000 0.2380 0.7415  1 C 2.25
Nb: 0.3333 0.6667 0.0000  2 Nb 2.67, 6 Ge 2.70
Nb: 0.0000 0.7620 0.2585  1 C 2.25
Nb: 0.2380 0.2380 0.2585  1 C 2.25
Nb: 0.7620 0.0000 0.2585  1 C 2.25
Ge: 0.0000 0.3983 0.2436  9 Nb 2.68-2.96
Ge: 0.6017 0.0000 0.7564  9 Nb 2.68-2.96
Nb: 0.3333 0.6667 0.5000  2 Nb 2.67, 6 Ge 2.73
Nb: 0.7620 0.7620 0.7415  1 C 2.25
Nb: 0.6667 0.3333 0.0000  2 Nb 2.67, 6 Ge 2.70
C: 0.0000 0.0000 0.5000  6 Nb 2.25
Ge: 0.3983 0.3983 0.7564  9 Nb 2.68-2.96
Ge: 0.0000 0.6017 0.7564  9 Nb 2.68-2.96

9.
## Nb2GeC (PBE)

Data for crystalline Nb2GeC at its relaxed geometry.

E_form: -0.41 eV/atom

Unit cell a=3.2323 b=3.2221 c=6.8484 alpha=103.28 beta=90.00 gamma=120.11
With the nearest neighbours (Å) after each atom.
Element x y z (fractional)
Nb: 0.7236 0.9472 0.6770  3 C 2.20
C: 0.0000 0.5000 0.5000  6 Nb 2.20
Ge: 0.5000 0.5000 0.0000  6 Nb 2.81-2.84
Nb: 0.2764 0.0528 0.3230  3 C 2.20

10.
## Nb6Ge3C (PBE)

Data for crystalline Nb6Ge3C at its relaxed geometry.

E_form: -0.12 eV/atom

Unit cell a=7.1229 b=6.0132 c=6.0132 alpha=56.13 beta=59.89 gamma=59.89
With the nearest neighbours (Å) after each atom.
Element x y z (fractional)
Nb: 0.3585 0.6610 0.1740  1 C 2.16
Ge: 0.2354 0.2363 0.2363  7 Nb 2.67-2.89
Nb: 0.1725 0.7195 0.7195  1 C 2.17
Nb: 0.6415 0.3390 0.8260  1 C 2.16
Ge: 0.7646 0.7637 0.7637  7 Nb 2.67-2.89
Ge: 0.0000 0.0000 0.0000  6 Nb 2.49-2.62
Nb: 0.8275 0.2805 0.2805  1 C 2.17
C: 0.5000 0.5000 0.5000  6 Nb 2.16-2.17
Nb: 0.3585 0.1740 0.6610  1 C 2.16
Nb: 0.6415 0.8260 0.3390  1 C 2.16

11.
## NbGeC3 (PBE)

Data for crystalline NbGeC3 at its relaxed geometry.

E_form: 2.01 eV/atom
Offset from the most stable computed form: 0 meV/atom

Unit cell a=4.2181 b=4.2181 c=4.2181 alpha=90.00 beta=90.00 gamma=90.00
With the nearest neighbours (Å) after each atom.
Element x y z (fractional)
C: 0.0000 0.0000 0.5000  2 Nb 2.11
Nb: 0.0000 0.0000 0.0000  6 C 2.11
Ge: 0.5000 0.5000 0.5000  12 C 2.98
C: 0.0000 0.5000 0.0000  2 Nb 2.11
C: 0.5000 0.0000 0.0000  2 Nb 2.11

12.
## Nb7Ge2C2 (PBE)

Data for crystalline Nb7Ge2C2 at its relaxed geometry.

E_form: -0.24 eV/atom

Unit cell a=3.1794 b=7.9893 c=7.9893 alpha=59.09 beta=78.52 gamma=78.52
With the nearest neighbours (Å) after each atom.
Element x y z (fractional)
Nb: 0.1806 0.7244 0.9145  3 C 2.44-2.50
Nb: 0.3659 0.7294 0.5387  2 C 2.27
Nb: 0.8194 0.0855 0.2756  3 C 2.44-2.50
Ge: 0.5000 0.3467 0.6533  7 Nb 2.67-2.73
Nb: 0.5000 0.0082 0.9918  3 Ge 2.65-2.67
Nb: 0.6341 0.4613 0.2706  2 C 2.27
Nb: 0.1562 0.1023 0.5852  2 C 2.28
Ge: 0.0000 0.7384 0.2616  8 Nb 2.65-2.77
Nb: 0.8438 0.4148 0.8977  2 C 2.28
C: 0.2527 0.3688 0.1259  7 Nb 2.27-2.50
C: 0.7473 0.8741 0.6312  7 Nb 2.27-2.50

13.
## Nb2GeC (PBE)

Data for crystalline Nb2GeC at its relaxed geometry.

E_form: -0.53 eV/atom

Unit cell a=3.2491 b=3.2491 c=12.7827 alpha=90.00 beta=90.00 gamma=120.00
With the nearest neighbours (Å) after each atom.
Element x y z (fractional)
Ge: 0.3333 0.6667 0.7500  6 Nb 2.75
Nb: 0.6667 0.3333 0.5923  3 C 2.22
Nb: 0.6667 0.3333 0.9077  3 C 2.22
Nb: 0.3333 0.6667 0.0923  3 C 2.22
Ge: 0.6667 0.3333 0.2500  6 Nb 2.75
C: 0.0000 0.0000 0.5000  6 Nb 2.22
Nb: 0.3333 0.6667 0.4077  3 C 2.22
C: 0.0000 0.0000 0.0000  6 Nb 2.22

14.
## Nb4GeC2 (PBE)

Data for crystalline Nb4GeC2 at its relaxed geometry.

E_form: -0.51 eV/atom
Offset from the most stable computed form: 0 meV/atom

Unit cell a=3.3412 b=5.5470 c=11.2100 alpha=90.00 beta=90.00 gamma=107.53
With the nearest neighbours (Å) after each atom.
Element x y z (fractional)
Nb: 0.7641 0.5281 0.3922  3 C 2.18-2.21
C: 0.1362 0.2724 0.4381  6 Nb 2.18-2.31
C: 0.1362 0.2724 0.0619  6 Nb 2.18-2.31
Nb: 0.7641 0.5281 0.1078  3 C 2.18-2.21
Nb: 0.2359 0.4719 0.8922  3 C 2.18-2.21
Nb: 0.5000 0.0000 0.5000  4 C 2.31
Ge: 0.6077 0.2154 0.7500  6 Nb 2.58-2.68
Nb: 0.2359 0.4719 0.6078  3 C 2.18-2.21
Nb: 0.9217 0.8435 0.7500  2 C 2.20
C: 0.8638 0.7276 0.9381  6 Nb 2.18-2.31
Ge: 0.3923 0.7846 0.2500  6 Nb 2.58-2.68
C: 0.8638 0.7276 0.5619  6 Nb 2.18-2.31
Nb: 0.0783 0.1565 0.2500  2 C 2.20
Nb: 0.5000 0.0000 0.0000  4 C 2.31

15.
## NbGeC2 (PBE)

Data for crystalline NbGeC2 at its relaxed geometry.

E_form: 0.57 eV/atom
Offset from the most stable computed form: 0 meV/atom

Unit cell a=4.8724 b=4.8724 c=5.7285 alpha=64.83 beta=64.83 gamma=90.00
With the nearest neighbours (Å) after each atom.
Element x y z (fractional)
C: 0.3750 0.3896 0.7500  2 Ge 2.03, 2 Nb 2.11
Nb: 0.7500 0.2500 0.5000  4 C 2.11
C: 0.6104 0.1250 0.2500  2 Ge 2.03, 2 Nb 2.11
Ge: 0.5000 0.5000 0.0000  4 C 2.03
Nb: 0.0000 0.0000 0.0000  4 C 2.11
C: 0.8750 0.8604 0.7500  2 Ge 2.03, 2 Nb 2.11
Ge: 0.2500 0.7500 0.5000  4 C 2.03
C: 0.1396 0.6250 0.2500  2 Ge 2.03, 2 Nb 2.11

16.
## Nb2GeC (PBE)

Data for crystalline Nb2GeC at its relaxed geometry.

E_form: 0.37 eV/atom

Unit cell a=5.3863 b=5.3863 c=6.4309 alpha=65.24 beta=65.24 gamma=90.00
With the nearest neighbours (Å) after each atom.
Element x y z (fractional)
Ge: 0.7500 0.2500 0.5000  4 Nb 2.58
Nb: 0.3750 0.4564 0.7500  2 C 2.08
Nb: 0.5436 0.1250 0.2500  2 C 2.08
C: 0.5000 0.5000 0.0000  4 Nb 2.08
Nb: 0.8750 0.7936 0.7500  2 C 2.08
Ge: 0.0000 0.0000 0.0000  4 Nb 2.58
Nb: 0.2064 0.6250 0.2500  2 C 2.08
C: 0.2500 0.7500 0.5000  4 Nb 2.08

17.
## Nb2GeC (PBE)

Data for crystalline Nb2GeC at its relaxed geometry.

E_form: 0.56 eV/atom

Unit cell a=4.3192 b=4.3192 c=4.3192 alpha=60.00 beta=60.00 gamma=60.00
With the nearest neighbours (Å) after each atom.
Element x y z (fractional)
Nb: 0.2500 0.2500 0.2500  4 Ge 2.64, 4 C 2.64
Ge: 0.5000 0.5000 0.5000  8 Nb 2.64
Nb: 0.7500 0.7500 0.7500  4 Ge 2.64, 4 C 2.64
C: 0.0000 0.0000 0.0000  8 Nb 2.64

18.
## Nb8GeC2 (PBE)

Data for crystalline Nb8GeC2 at its relaxed geometry.

E_form: -0.06 eV/atom

Unit cell a=4.7198 b=6.3419 c=6.3419 alpha=111.07 beta=97.15 gamma=97.15
With the nearest neighbours (Å) after each atom.
Element x y z (fractional)
Nb: 0.7127 0.3879 0.3879  2 C 2.39
Nb: 0.2873 0.6121 0.6121  2 C 2.39
Ge: 0.5000 0.0000 0.0000  8 Nb 2.67-2.95
Nb: 0.1067 0.3369 0.0707  2 C 2.35-2.39
C: 0.0000 0.3155 0.6845  8 Nb 2.35-2.44
Nb: 0.1067 0.0707 0.3369  2 C 2.35-2.39
Nb: 0.5000 0.7449 0.2551  2 C 2.44, 1 Ge 2.67
Nb: 0.8933 0.6631 0.9293  2 C 2.35-2.39
Nb: 0.8933 0.9293 0.6631  2 C 2.35-2.39
Nb: 0.5000 0.2551 0.7449  2 C 2.44, 1 Ge 2.67
C: 0.0000 0.6845 0.3155  8 Nb 2.35-2.44

19.
## Nb4GeC2 (PBE)

Data for crystalline Nb4GeC2 at its relaxed geometry.

E_form: -0.44 eV/atom
Offset from the most stable computed form: 79 meV/atom

Unit cell a=3.1870 b=3.1870 c=11.7460 alpha=82.20 beta=82.20 gamma=60.00
With the nearest neighbours (Å) after each atom.
Element x y z (fractional)
Nb: 0.7275 0.7275 0.8174  3 C 2.21
Nb: 0.8697 0.8697 0.3910  3 C 2.19
Nb: 0.2725 0.2725 0.1826  3 C 2.21
C: 0.5706 0.5706 0.2883  6 Nb 2.19-2.21
C: 0.4294 0.4294 0.7117  6 Nb 2.19-2.21
Nb: 0.1303 0.1303 0.6090  3 C 2.19
Ge: 0.0000 0.0000 0.0000  6 Nb 2.81

20.
## NbGe3C (PBE)

Data for crystalline NbGe3C at its relaxed geometry.

E_form: 1.03 eV/atom
Offset from the most stable computed form: 0 meV/atom

Unit cell a=4.2788 b=4.2788 c=4.2788 alpha=90.00 beta=90.00 gamma=90.00
With the nearest neighbours (Å) after each atom.
Element x y z (fractional)
Nb: 0.5000 0.5000 0.5000  12 Ge 3.03
C: 0.0000 0.0000 0.0000  6 Ge 2.14
Ge: 0.0000 0.0000 0.5000  2 C 2.14
Ge: 0.0000 0.5000 0.0000  2 C 2.14
Ge: 0.5000 0.0000 0.0000  2 C 2.14

Size of the total moment per entry: 0.0; 0.0; 0.0; 0.0; 0.0; 1.1; 0.0; 0.0; 0.0; 0.0; 0.0; 0.0; 0.0; 0.0; 0.0; 0.0; 0.0; 0.0; 0.0; 0.0 μB per cell